# CaBeZn2Ga

A relaxed CaBeZn2Ga crystal (PBE, the Alexandria database).

Unit cell a=4.701 b=4.701 c=5.706 alpha=90.00 beta=90.00 gamma=90.00
Sites, in units of the cell vectors:
Ca 0.000 0.000 0.000
Be 0.500 0.500 0.000
Zn 0.000 0.500 0.500
Zn 0.500 0.000 0.500
Ga 0.000 0.000 0.500

**N(E_F)**: 0.74 states/eV per atom
**Calculated density**: 3288 kg/m3
**Energy**: -1.678 eV/atom
**Energy relative to the elements**: 0.58 eV per atom
**Total magnetization**: 0.000 μB/f.u.
**Space group**: No. 123

---

# CaZrBe2Ga

A relaxed CaZrBe2Ga crystal (PBE, the Alexandria database).

Unit cell a=4.759 b=4.759 c=5.143 alpha=90.00 beta=90.00 gamma=90.00
Sites, in units of the cell vectors:
Ca 0.000 0.000 0.000
Zr 0.000 0.000 0.500
Be 0.000 0.500 0.000
Be 0.500 0.000 0.000
Ga 0.500 0.500 0.500

**N(E_F)**: 0.75 states/eV per atom
**Calculated density**: 3123 kg/m3
**Energy**: -2.400 eV/atom
**Energy relative to the elements**: 1.81 eV per atom
**Total magnetization**: 0.000 μB/f.u.
**Space group**: No. 123

---

# CaGd2BeO5

A relaxed CaGd2BeO5 crystal (PBE, the Alexandria database).

Unit cell a=9.371 b=6.427 c=7.065 alpha=90.00 beta=90.00 gamma=90.00
Sites, in units of the cell vectors:
Ca 0.177 0.080 0.000
Ca 0.323 0.580 0.500
Ca 0.677 0.420 0.000
Ca 0.823 0.920 0.500
Gd 0.022 0.596 0.765
Gd 0.173 0.070 0.547
Gd 0.327 0.570 0.047
Gd 0.478 0.096 0.265
Gd 0.522 0.904 0.765
Gd 0.673 0.430 0.547
Gd 0.827 0.930 0.047
Gd 0.978 0.404 0.265
Be 0.104 0.806 0.267
Be 0.396 0.306 0.767
Be 0.604 0.694 0.267
Be 0.896 0.194 0.767
O 0.010 0.021 0.268
O 0.073 0.683 0.073
O 0.073 0.692 0.464
O 0.220 0.361 0.767
O 0.223 0.336 0.264
O 0.277 0.836 0.764
O 0.280 0.861 0.267
O 0.427 0.183 0.573
O 0.427 0.192 0.964
O 0.490 0.521 0.768
O 0.510 0.479 0.268
O 0.573 0.808 0.464
O 0.573 0.817 0.073
O 0.720 0.139 0.767
O 0.723 0.164 0.264
O 0.777 0.664 0.764
O 0.780 0.639 0.267
O 0.927 0.308 0.964
O 0.927 0.317 0.573
O 0.990 0.979 0.768

**N(E_F)**: 0.00 states/eV per atom
**Calculated density**: 6925 kg/m3
**Energy**: -9.682 eV/atom
**Total magnetization**: 13.982 μB/f.u.
**ΔE_f (raw)**: -72.92 kcal/mol of atoms
**Space group**: No. 33